1.
Compound: RbLaTl2Rh
Source: Alexandria
Functional: PBE
Structure: relaxed

```
RbLaTl2Rh
1.0
-3.241 -4.098 1.976
-0.995 -1.729 -5.217
4.153 -3.161 0.256
Tl Rh Rb La
2 1 1 1
Direct
0.000 0.500 0.000 Tl
0.500 0.000 0.000 Tl
0.000 0.000 0.000 Rh
0.500 0.500 0.500 Rb
0.000 0.000 0.500 La
```

* E: -19.14 eV/f.u.
* calculated volume: 163 Å³/cell
* magnetic moment: 0.000 μB per atom
* ρ: 7.496 g/cm³

2.
Compound: EuBeGa2
Source: Alexandria
Functional: PBE
Structure: relaxed

```
EuBeGa2
1.0
-2.359 2.922 -1.534
-3.995 -0.601 -0.365
-2.896 2.834 4.489
Eu Be Ga
1 1 2
Direct
0.500 0.500 0.500 Eu
0.000 0.000 0.000 Be
0.290 0.290 0.131 Ga
0.710 0.710 0.869 Ga
```

* E: -21.11 eV/f.u.
* calculated volume: 79 Å³/cell
* magnetic moment: 1.736 μB per atom
* ρ: 6.279 g/cm³

3.
Compound: TaMn2In
Source: Alexandria
Functional: PBE
Structure: relaxed

```
TaMn2In
1.0
-5.240 4.461 -1.832
-0.017 -2.723 -6.580
-4.525 -1.033 -3.414
In Mn Ta
2 4 2
Direct
0.500 0.500 0.000 In
0.250 0.750 0.500 In
0.647 0.125 0.250 Mn
0.103 0.625 0.250 Mn
0.375 0.353 0.750 Mn
0.875 0.897 0.750 Mn
0.000 0.000 0.000 Ta
0.750 0.250 0.500 Ta
```

* E: -30.15 eV/f.u.
* calculated volume: 142 Å³/cell
* magnetic moment: 1.126 μB per atom
* ρ: 9.486 g/cm³

4.
Compound: Pr4NiIrCl2
Source: Alexandria
Functional: PBE
Structure: relaxed

```
Pr4NiIrCl2
1.0
4.129 0.000 0.000
0.000 7.131 0.110
0.000 -2.515 7.532
Pr Ni Ir Cl
4 1 1 2
Direct
0.500 0.238 0.204 Pr
0.500 0.762 0.796 Pr
0.000 0.268 0.798 Pr
0.000 0.732 0.202 Pr
0.500 0.500 0.000 Ni
0.000 0.000 0.000 Ir
0.500 0.000 0.500 Cl
0.000 0.500 0.500 Cl
```

* E: -45.82 eV/f.u.
* calculated volume: 223 Å³/cell
* magnetic moment: 0.000 μB per atom
* raw formation energy: -1.046 eV per atom
* ρ: 6.595 g/cm³

5.
Compound: NaPr3Dy2Se6
Source: Alexandria
Functional: PBE
Structure: relaxed

```
NaPr3Dy2Se6
1.0
4.170 0.000 0.000
0.000 8.415 0.282
-2.085 -2.445 8.831
Na Pr Dy Se
1 3 2 6
Direct
0.500 0.000 0.000 Na
0.500 0.500 0.000 Pr
0.840 0.176 0.679 Pr
0.160 0.824 0.321 Pr
0.835 0.662 0.670 Dy
0.165 0.338 0.330 Dy
0.332 0.906 0.664 Se
0.671 0.575 0.341 Se
0.668 0.094 0.336 Se
0.006 0.245 0.012 Se
0.994 0.755 0.988 Se
0.329 0.425 0.659 Se
```

* E: -67.01 eV/f.u.
* calculated volume: 313 Å³/cell
* magnetic moment: 0.000 μB per atom
* raw formation energy: -1.770 eV per atom
* ρ: 6.606 g/cm³

6.
Compound: BaCuSb2Te
Source: Alexandria
Functional: PBE
Structure: relaxed

```
BaCuSb2Te
1.0
5.183 0.000 0.000
0.000 5.183 0.000
0.000 0.000 5.623
Sb Te Ba Cu
2 1 1 1
Direct
0.000 0.500 0.000 Sb
0.500 0.000 0.000 Sb
0.000 0.000 0.500 Te
0.500 0.500 0.500 Ba
0.000 0.000 0.000 Cu
```

* E: -19.00 eV/f.u.
* calculated volume: 151 Å³/cell
* magnetic moment: 0.000 μB per atom
* energy relative to the lowest polymorph listed for this composition: 0.00 eV per formula unit
* raw formation energy: -0.319 eV per atom
* ρ: 6.289 g/cm³

7.
Compound: Li8Ga2Pd
Source: Alexandria
Functional: PBE
Structure: relaxed

```
Li8Ga2Pd
1.0
4.615 0.406 0.338
0.542 6.967 0.097
0.542 1.370 6.832
Li Ga Pd
8 2 1
Direct
0.811 0.171 0.653 Li
0.189 0.347 0.829 Li
0.897 0.236 0.236 Li
0.103 0.764 0.764 Li
0.811 0.653 0.171 Li
0.189 0.829 0.347 Li
0.317 0.388 0.388 Li
0.683 0.612 0.612 Li
0.464 0.122 0.122 Ga
0.536 0.878 0.878 Ga
0.000 0.000 0.000 Pd
```

* E: -27.84 eV/f.u.
* calculated volume: 217 Å³/cell
* magnetic moment: 0.000 μB per atom
* ρ: 2.311 g/cm³

8.
Compound: SrMgF
Source: Alexandria
Functional: PBE
Structure: relaxed

```
SrMgF
1.0
-3.381 1.854 1.176
-0.120 -3.842 -1.197
1.920 -3.496 11.031
Mg F Sr
2 2 2
Direct
0.390 0.781 0.000 Mg
0.721 0.442 0.500 Mg
0.722 0.444 0.321 F
0.722 0.444 0.679 F
0.056 0.111 0.756 Sr
0.056 0.111 0.244 Sr
```

* E: -10.21 eV/f.u.
* calculated volume: 165 Å³/cell
* magnetic moment: 0.074 μB per atom
* raw formation energy: -1.687 eV per atom
* ρ: 2.639 g/cm³